KBaMo | GGA-PBE | optimized geometry

Geometry as extended XYZ:
```
3
Lattice="5.947 0.000 0.000 -2.973 5.150 0.000 0.000 0.000 3.703" Properties=species:S:1:pos:R:3 pbc="T T T"
K 0.000 0.000 0.000
Ba 0.000 3.433 2.377
Mo 2.973 1.717 1.127
```

Formation energy from the elements: 1405 meV per atom
Fermi-level density of states: 1.063 states/eV per atom
Energy relative to the lowest polymorph listed for this composition: 0.1102 eV/atom
Size of the total moment: 3.55 Bohr magnetons per cell
Mass density: 3.987 g/cm³
VASP energy: -3.212 eV per atom

KBa2Mo2N6 | GGA-PBE | optimized geometry

Geometry as extended XYZ:
```
11
Lattice="4.868 0.000 0.000 1.020 6.329 0.000 0.343 1.866 6.794" Properties=species:S:1:pos:R:3 pbc="T T T"
K 0.000 0.000 0.000
Ba 2.131 4.452 5.054
Ba 4.101 3.744 1.740
Mo 1.459 1.121 2.697
Mo 4.772 7.074 4.097
N 0.436 2.262 3.983
N 2.125 5.416 2.424
N 1.796 1.989 1.172
N 4.436 6.207 5.622
N 4.107 2.779 4.370
N 5.795 5.934 2.811
```

Fermi-level density of states: 0.172 states/eV per atom
Size of the total moment: 0.00 Bohr magnetons per cell
Mass density: 4.678 g/cm³
Formation energy without anion corrections: -324 meV/atom
VASP energy: -7.284 eV per atom

K2BaMoN | GGA-PBE | optimized geometry

Geometry as extended XYZ:
```
5
Lattice="7.321 0.000 0.000 0.000 7.321 0.000 0.000 0.000 3.924" Properties=species:S:1:pos:R:3 pbc="T T T"
K 0.000 3.660 0.000
K 3.660 0.000 0.000
Ba 0.000 0.000 1.962
Mo 3.660 3.660 0.000
N 3.660 3.660 1.962
```

Fermi-level density of states: 1.066 states/eV per atom
Size of the total moment: 1.46 Bohr magnetons per cell
Mass density: 2.570 g/cm³
Formation energy without anion corrections: 728 meV/atom
VASP energy: -3.927 eV per atom

KBaNiMo2 | GGA-PBE | optimized geometry

Geometry as extended XYZ:
```
5
Lattice="5.063 0.000 0.000 0.000 5.063 0.000 0.000 0.000 5.811" Properties=species:S:1:pos:R:3 pbc="T T T"
K 0.000 0.000 0.000
Ba 0.000 0.000 2.906
Ni 2.531 2.531 0.000
Mo 0.000 2.531 2.906
Mo 2.531 0.000 2.906
```

Formation energy from the elements: 2845 meV per atom
Fermi-level density of states: 2.821 states/eV per atom
Size of the total moment: 0.00 Bohr magnetons per cell
Mass density: 4.760 g/cm³
VASP energy: -3.247 eV per atom